First-principles (GGA-PBE) data for Sr6Te3Se2I after structural relaxation, as listed in Alexandria via LeMat-Bulk.

The structure belongs to space group C2/m (No. 12); the cell edges are 20.1593, 4.6402 and 9.2863 Å and the angles 90.00°, 102.68° and 90.00°. The asymmetric unit holds Sr at (0.0074, 0.0000, 0.2664), Sr at (0.1704, 0.5000, 0.5760), Sr at (0.1742, 0.5000, 0.1009), Te at (0.0000, 0.5000, 0.5000), Te at (0.1609, 0.0000, 0.8348), Se at (0.1676, 0.0000, 0.3338) and I at (0.0000, 0.5000, 0.0000).

The value obtained for the formation energy without anion corrections is -2016 kJ/mol of formula units. For the mass density, the calculation gives 4.7 Mg/m³. As for the total energy: -4.08 eV/atom. The value obtained for the total moment is 0.0 Bohr magnetons per cell.

---

First-principles (GGA-PBE) data for MgReBr2 after structural relaxation, as listed in Alexandria via LeMat-Bulk.

The structure belongs to space group I-4m2 (No. 119); the cell edges are 3.8745, 3.8745 and 11.9633 Å and the angles 90.00°, 90.00° and 90.00°. The asymmetric unit holds Mg at (0.0000, 0.0000, 0.0000), Re at (0.0000, 0.5000, 0.7500), Br at (0.0000, 0.0000, 0.5000) and Br at (0.0000, 0.5000, 0.2500).

The value obtained for the formation energy without anion corrections is 317 kJ/mol of formula units. For the mass density, the calculation gives 6.8 Mg/m³. As for the total energy: -3.52 eV/atom. The value obtained for the total moment is 5.7 Bohr magnetons per cell.

---

First-principles (GGA-PBE) data for AcGa3Tc3 after structural relaxation, as listed in Alexandria via LeMat-Bulk.

The structure belongs to space group P6_3/m (No. 176); the cell edges are 8.6538, 8.6538 and 4.4133 Å and the angles 90.00°, 90.00° and 120.00°. The asymmetric unit holds Ac at (0.3333, 0.6667, 0.2500), Ga at (0.0631, 0.3815, 0.7500) and Tc at (0.0315, 0.1957, 0.2500).

For the mass density, the calculation gives 8.5 Mg/m³. As for the total energy: -6.37 eV/atom. The value obtained for the formation energy is -0.04 eV per atom. The value obtained for the total moment is 0.0 Bohr magnetons per cell.

---

Question: Look up the mass density of the third one.
Answer: 8.5 Mg/m³

---

Copy entry 3 word for word.
First-principles (GGA-PBE) data for AcGa3Tc3 after structural relaxation, as listed in Alexandria via LeMat-Bulk.

The structure belongs to space group P6_3/m (No. 176); the cell edges are 8.6538, 8.6538 and 4.4133 Å and the angles 90.00°, 90.00° and 120.00°. The asymmetric unit holds Ac at (0.3333, 0.6667, 0.2500), Ga at (0.0631, 0.3815, 0.7500) and Tc at (0.0315, 0.1957, 0.2500).

For the mass density, the calculation gives 8.5 Mg/m³. As for the total energy: -6.37 eV/atom. The value obtained for the formation energy is -0.04 eV per atom. The value obtained for the total moment is 0.0 Bohr magnetons per cell.

---

Question: Which value of mass density does entry 3 give?
Answer: 8.5 Mg/m³